i) KScTl2: optimized geometry, GGA-PBEsol.

It has space group Imm2 (No. 44), with a = 3.4291 Å, b = 5.5417 Å, c = 11.6130 Å, α = 90.00°, β = 90.00° and γ = 90.00°. The asymmetric unit holds K at (0.0000, 0.0000, 0.0000), Sc at (0.0000, 0.5000, 0.7864), Tl at (0.0000, 0.0000, 0.5028) and Tl at (0.0000, 0.5000, 0.2329).

ii) KScTl2: optimized geometry, GGA-PBEsol.

It has space group P4/mmm (No. 123), with a = 3.6265 Å, b = 3.6265 Å, c = 8.3891 Å, α = 90.00°, β = 90.00° and γ = 90.00°. The asymmetric unit holds K at (0.0000, 0.0000, 0.0000), Sc at (0.0000, 0.0000, 0.5000) and Tl at (0.5000, 0.5000, 0.2999).

ii) takes first place; second place is 239 meV per atom up.

i) KYSc2: optimized geometry, GGA-PBEsol.

It has space group Fm-3m (No. 225), with a = 7.8271 Å, b = 7.8271 Å, c = 7.8271 Å, α = 90.00°, β = 90.00° and γ = 90.00°. The asymmetric unit holds K at (0.0000, 0.0000, 0.0000), Y at (0.0000, 0.0000, 0.5000) and Sc at (0.2500, 0.2500, 0.2500).

ii) KYSc2: optimized geometry, GGA-PBEsol.

It has space group Cmmm (No. 65), with a = 7.0465 Å, b = 10.3266 Å, c = 3.3254 Å, α = 90.00°, β = 90.00° and γ = 90.00°. The asymmetric unit holds K at (0.0000, 0.0000, 0.0000), Y at (0.0000, 0.5000, 0.0000) and Sc at (0.2500, 0.2500, 0.5000).

iii) KYSc2: optimized geometry, GGA-PBEsol.

It has space group P4/mmm (No. 123), with a = 4.9418 Å, b = 4.9418 Å, c = 4.9852 Å, α = 90.00°, β = 90.00° and γ = 90.00°. The asymmetric unit holds K at (0.0000, 0.0000, 0.0000), Y at (0.5000, 0.5000, 0.0000) and Sc at (0.0000, 0.5000, 0.5000).

ii) takes first place; second place is 88 meV per atom up.

i) K2ZrSc: optimized geometry, GGA-PBEsol.

It has space group R-3m (No. 166, hexagonal axes), with a = 3.2555 Å, b = 3.2555 Å, c = 40.8330 Å, α = 90.00°, β = 90.00° and γ = 120.00°. The asymmetric unit holds K at (0.0000, 0.0000, 0.2494), Zr at (0.0000, 0.0000, 0.5000) and Sc at (0.0000, 0.0000, 0.0000).

ii) K2ZrSc: optimized geometry, GGA-PBEsol.

It has space group Pmmm (No. 47), with a = 3.0702 Å, b = 6.2639 Å, c = 6.7514 Å, α = 90.00°, β = 90.00° and γ = 90.00°. The asymmetric unit holds K at (0.0000, 0.2478, 0.0000), Zr at (0.5000, 0.0000, 0.5000) and Sc at (0.5000, 0.5000, 0.5000).

i) takes first place; second place is 132 meV per atom up.

i) KSe2: optimized geometry, GGA-PBEsol.

It has space group P6_3/mmc (No. 194), with a = 5.2856 Å, b = 5.2856 Å, c = 6.1198 Å, α = 90.00°, β = 90.00° and γ = 120.00°. The asymmetric unit holds K at (0.3333, 0.6667, 0.2500), Se at (0.0000, 0.0000, 0.0000) and Se at (0.3333, 0.6667, 0.7500).

ii) KSe2: optimized geometry, GGA-PBEsol.

It has space group Cmcm (No. 63), with a = 4.6797 Å, b = 11.8934 Å, c = 6.5367 Å, α = 90.00°, β = 90.00° and γ = 90.00°. The asymmetric unit holds K at (0.0000, 0.1367, 0.2500), Se at (0.0000, 0.1482, 0.7500) and Se at (0.0000, 0.4252, 0.2500).

iii) KSe2: optimized geometry, GGA-PBEsol.

It has space group I4_1/amd (No. 141, origin choice 2), with a = 4.4893 Å, b = 4.4893 Å, c = 17.9895 Å, α = 90.00°, β = 90.00° and γ = 90.00°. The asymmetric unit holds K at (0.0000, 0.2500, 0.3750) and Se at (0.0000, 0.2500, 0.7793).

iii) takes first place; second place is 12 meV per atom up.

i) KSe2: optimized geometry, GGA-PBEsol.

It has space group Pnnm (No. 58), with a = 4.5235 Å, b = 7.2515 Å, c = 6.1537 Å, α = 90.00°, β = 90.00° and γ = 90.00°. The asymmetric unit holds K at (0.0000, 0.0000, 0.0000) and Se at (0.2483, 0.4289, 0.0000).

ii) KSe2: optimized geometry, GGA-PBEsol.

It has space group C2/m (No. 12), with a = 11.0057 Å, b = 5.0132 Å, c = 7.0133 Å, α = 90.00°, β = 104.98° and γ = 90.00°. The asymmetric unit holds K at (0.0910, 0.0000, 0.3080), Se at (0.1085, 0.5000, 0.6526) and Se at (0.2173, 0.5000, 0.0010).

ii) takes first place; second place is 64 meV per atom up.

i) KTl2Se: optimized geometry, GGA-PBEsol.

It has space group P4/mmm (No. 123), with a = 4.0491 Å, b = 4.0491 Å, c = 7.2076 Å, α = 90.00°, β = 90.00° and γ = 90.00°. The asymmetric unit holds K at (0.0000, 0.0000, 0.0000), Tl at (0.5000, 0.5000, 0.2949) and Se at (0.0000, 0.0000, 0.5000).

ii) KTl2Se: optimized geometry, GGA-PBEsol.

It has space group Pm (No. 6), with a = 4.5401 Å, b = 4.5405 Å, c = 6.0710 Å, α = 90.00°, β = 90.14° and γ = 90.00°. The asymmetric unit holds K at (0.0000, 0.0000, 0.0000), Tl at (0.4976, 0.0000, 0.4864), Tl at (0.9973, 0.5000, 0.4863) and Se at (0.4995, 0.5000, 0.8295).

ii) takes first place; second place is 168 meV per atom up.